--- P ---
Below is a relaxed CeDy2Cu crystal, with properties calculated at the PBE-GGA level.

Calculated values
The density of states at the Fermi level is 18.8 states/eV/cell. The calculation puts the theoretical density at 8.34 Mg/m³.

Geometry as CIF:
```
data_CeDy2Cu
_cell_length_a 3.3385
_cell_length_b 3.3385
_cell_length_c 32.6998
_cell_angle_alpha 90.00
_cell_angle_beta 90.00
_cell_angle_gamma 120.00
_space_group_name_H-M_alt 'R -3 m'
_space_group_IT_number 166
_space_group_name_Hall '-R 3 2"'
loop_
_atom_site_label
_atom_site_fract_x
_atom_site_fract_y
_atom_site_fract_z
Ce1 0.0000 0.0000 0.0000
Dy1 0.0000 0.0000 0.1009
Cu1 0.0000 0.0000 0.5000
```



--- Q ---
Below is a relaxed CeDy2Cu crystal, with properties calculated at the PBE-GGA level.

Calculated values
The density of states at the Fermi level is 6.6 states/eV/cell. The calculation puts the theoretical density at 8.53 Mg/m³.

Geometry as CIF:
```
data_CeDy2Cu
_cell_length_a 3.4875
_cell_length_b 3.4875
_cell_length_c 8.4584
_cell_angle_alpha 90.00
_cell_angle_beta 90.00
_cell_angle_gamma 90.00
_space_group_name_H-M_alt 'P 4/m m m'
_space_group_IT_number 123
_space_group_name_Hall '-P 4 2'
loop_
_atom_site_label
_atom_site_fract_x
_atom_site_fract_y
_atom_site_fract_z
Ce1 0.0000 0.0000 0.0000
Dy1 0.5000 0.5000 0.2996
Cu1 0.0000 0.0000 0.5000
```



In terms of stability, Q leads; the second structure lies 27.2 kJ/mol of atoms higher.



--- P ---
Below is a relaxed CeDyCu crystal, with properties calculated at the PBE-GGA level.

Calculated values
The density of states at the Fermi level is 5.6 states/eV/cell. The calculation puts the theoretical density at 8.60 Mg/m³.

Geometry as CIF:
```
data_CeDyCu
_cell_length_a 4.7969
_cell_length_b 4.7969
_cell_length_c 3.5499
_cell_angle_alpha 90.00
_cell_angle_beta 90.00
_cell_angle_gamma 120.00
_space_group_name_H-M_alt 'P 3 m 1'
_space_group_IT_number 156
loop_
_space_group_symop_operation_xyz
'x,y,z'
'-y,x-y,z'
'-x+y,-x,z'
'-y,-x,z'
'-x+y,y,z'
'x,x-y,z'
loop_
_atom_site_label
_atom_site_fract_x
_atom_site_fract_y
_atom_site_fract_z
Ce1 0.0000 0.0000 0.0000
Dy1 0.6667 0.3333 0.5940
Cu1 0.3333 0.6667 0.3240
```



--- Q ---
Below is a relaxed CeDyCu crystal, with properties calculated at the PBE-GGA level.

Calculated values
The density of states at the Fermi level is 21.5 states/eV/cell. The calculation puts the theoretical density at 8.69 Mg/m³.

Geometry as CIF:
```
data_CeDyCu
_cell_length_a 3.3556
_cell_length_b 17.2745
_cell_length_c 4.8300
_cell_angle_alpha 90.00
_cell_angle_beta 90.00
_cell_angle_gamma 90.00
_space_group_name_H-M_alt 'C m c m'
_space_group_IT_number 63
_space_group_name_Hall '-C 2c 2'
loop_
_atom_site_label
_atom_site_fract_x
_atom_site_fract_y
_atom_site_fract_z
Ce1 0.0000 0.2206 0.2500
Dy1 0.0000 0.0763 0.7500
Cu1 0.0000 0.4401 0.7500
```



--- R ---
Below is a relaxed CeDyCu crystal, with properties calculated at the PBE-GGA level.

Calculated values
The density of states at the Fermi level is 10.8 states/eV/cell. The calculation puts the theoretical density at 8.18 Mg/m³.

Geometry as CIF:
```
data_CeDyCu
_cell_length_a 3.4682
_cell_length_b 3.4682
_cell_length_c 12.3605
_cell_angle_alpha 90.00
_cell_angle_beta 90.00
_cell_angle_gamma 90.00
_space_group_name_H-M_alt 'I 4 m m'
_space_group_IT_number 107
_space_group_name_Hall 'I 4 -2'
loop_
_atom_site_label
_atom_site_fract_x
_atom_site_fract_y
_atom_site_fract_z
Ce1 0.0000 0.0000 0.0000
Dy1 0.0000 0.0000 0.7154
Cu1 0.0000 0.0000 0.3485
```



In terms of stability, Q leads; the second structure lies 3.2 kJ/mol of atoms higher.